A relaxed AlNi2GeO6 crystal. Source: the Alexandria database, functional PBE with a Hubbard U.

a = 5.413 Å, b = 5.413 Å, c = 3.726 Å
α = 90.00°, β = 90.00°, γ = 90.00°
Space group P4mm (No. 99)
Asymmetric unit:
Al 0.000 0.000 0.000 x1
Ni 0.000 0.500 0.238 x2
Ge 0.500 0.500 0.999 x1
O 0.000 0.000 0.514 x1
O 0.250 0.250 0.054 x4
O 0.500 0.500 0.519 x1

Output
Raw total energy: -5.5576 eV per atom
M_tot: 4.73 μB/f.u.